Here is crystalline FeTcAu2 at its relaxed geometry from Alexandria via LeMat-Bulk. Energies are from GGA-PBEsol.

- SG: P4/mmm, No. 123
- Formation energy: 1.225 eV/f.u.
- Spin magnetization: 2.89 μB/f.u.
- N(E_F): 4.081 states/eV/cell

abc: 2.6951 2.6951 8.1505
angles: 90.00 90.00 90.00
With the nearest neighbours (Å) after each atom.
Positions (direct):
Au 0.0000 0.0000 0.7588  4 Au 2.70, 4 Fe 2.74, 4 Tc 2.84
Au 0.0000 0.0000 0.2412  4 Au 2.70, 4 Fe 2.74, 4 Tc 2.84
Fe 0.5000 0.5000 0.0000  4 Fe 2.70, 8 Au 2.74
Tc 0.5000 0.5000 0.5000  4 Tc 2.70, 8 Au 2.84